1.
InGeCl3 PBE relaxed; SG = P1, No. 1; uncorrected formation energy = -0.799 eV/atom
1.0
-1.2054 2.7337 -5.3282
-5.0385 0.9373 3.3062
3.9181 8.2089 2.8591
Cl Ge In
6 2 2
Direct
0.9268 0.0220 0.9547
0.6152 0.2883 0.6238
0.2055 0.6989 0.7383
0.6061 0.3339 0.2707
0.2515 0.6895 0.0912
0.9387 0.0097 0.4079
0.8864 0.3806 0.4405
0.2973 0.9703 0.9221
0.3954 0.8624 0.4180
0.7787 0.4779 0.9437

---

2.
HfCd3Ru PBE relaxed; E_form = 1.72 eV per atom; SG = Pm-3m, No. 221
1.0
5.4460 0.0000 0.0000
0.0000 5.4460 0.0000
0.0000 0.0000 5.4460
Hf Cd Ru
1 3 1
Direct
0.0000 0.0000 0.0000
0.5000 0.0000 0.0000
0.0000 0.5000 0.0000
0.0000 0.0000 0.5000
0.5000 0.5000 0.5000

---

3.
MnMoRh2 PBE relaxed; E_form = -0.15 eV per atom; SG = I4/mmm, No. 139
1.0
-3.7491 2.7821 -0.0530
-3.8082 -2.6984 -0.1223
3.7117 -0.0757 2.8303
Rh Mn Mo
2 1 1
Direct
0.0000 0.0001 0.0000
0.5000 0.4999 0.0000
0.2500 0.7500 0.5000
0.7500 0.2500 0.5000

---

4.
Li2Mg2Pb PBE relaxed; E_form = -0.07 eV per atom; SG = P4/mbm, No. 127
1.0
7.3515 0.0000 0.0000
0.0000 7.3515 0.0000
0.0000 0.0000 3.9572
Pb Li Mg
2 4 4
Direct
0.5000 0.5000 0.0000
0.0000 0.0000 0.0000
0.3623 0.8623 0.0000
0.1377 0.3623 0.0000
0.6377 0.1377 0.0000
0.8623 0.6377 0.0000
0.6581 0.8419 0.5000
0.1581 0.6581 0.5000
0.8419 0.3419 0.5000
0.3419 0.1581 0.5000

---

5.
NdGe3Pt6 PBE relaxed; E_form = -0.54 eV per atom; SG = R3, No. 146
1.0
5.8068 0.0002 -3.1117
-3.7374 5.4252 -0.0001
-0.2724 -0.1874 6.4656
Pt Ge Nd
6 3 1
Direct
0.7572 0.0149 0.2410
0.7583 0.4427 0.7240
0.4987 0.4838 0.2410
0.4084 0.9657 0.7240
0.2813 0.3156 0.7240
0.2262 0.7424 0.2410
0.2529 0.6265 0.8794
0.2283 0.1142 0.3425
0.7600 0.3800 0.1400
0.8288 0.9144 0.7431

---

6.
DyGa6Pt12 PBE relaxed; E_form = -0.56 eV per atom; SG = R-3m, No. 166
1.0
-0.3565 -6.6281 3.0230
2.8977 -0.8929 -6.6335
4.8538 3.8037 3.8948
Pt Dy Ga
12 1 6
Direct
0.8751 0.5000 0.1249
0.5000 0.8751 0.1249
0.1249 0.8751 0.5000
0.3793 0.3793 0.1412
0.6207 0.6207 0.8588
0.5000 0.1249 0.8751
0.8751 0.1249 0.5000
0.6207 0.8588 0.6207
0.1249 0.5000 0.8751
0.3793 0.1412 0.3793
0.8588 0.6207 0.6207
0.1412 0.3793 0.3793
0.0000 0.0000 0.0000
0.7252 0.7252 0.3040
0.2748 0.2748 0.6960
0.6960 0.2748 0.2748
0.7252 0.3040 0.7252
0.2748 0.6960 0.2748
0.3040 0.7252 0.7252

---

7.
YCl2 PBE relaxed; SG = Fd-3m, No. 227; uncorrected formation energy = -0.413 eV/atom
1.0
0.0000 4.1906 4.1906
4.1906 0.0000 4.1906
4.1906 4.1906 0.0000
Cl Y
4 2
Direct
0.1250 0.1250 0.1250
0.6250 0.1250 0.1250
0.1250 0.6250 0.1250
0.1250 0.1250 0.6250
0.7500 0.7500 0.7500
0.5000 0.5000 0.5000

---

8.
YBeZn2 PBE relaxed; E_form = -0.10 eV per atom; SG = F-43m, No. 216
1.0
-4.4776 -0.0863 0.7875
-2.7387 -2.4168 -2.7083
-1.9623 -3.7959 1.5545
Y Be Zn
1 1 2
Direct
0.7500 0.7500 0.7500
0.5000 0.5000 0.5000
0.2500 0.2500 0.2500
0.0000 0.0000 0.0000

---

| no. | DFT total energy (eV per atom) |
| --- | --- |
| 1 | -3.378 |
| 2 | -2.679 |
| 3 | -8.826 |
| 4 | -2.220 |
| 5 | -6.024 |
| 6 | -5.576 |
| 7 | -3.799 |
| 8 | -3.282 |